# GGA-PBE Fe2SiAs, relaxed
data_Fe2SiAs
_cell_length_a 7.4680
_cell_length_b 2.7692
_cell_length_c 4.7506
_cell_angle_alpha 90.00
_cell_angle_beta 101.80
_cell_angle_gamma 90.00
_symmetry_space_group_name_H-M 'C 1 2/m 1'
_symmetry_Int_Tables_number 12
loop_
_symmetry_equiv_pos_as_xyz
'x,y,z'
'-x,-y,-z'
'-x,y,-z'
'x,-y,z'
'x+1/2,y+1/2,z'
'-x+1/2,-y+1/2,-z'
'-x+1/2,y+1/2,-z'
'x+1/2,-y+1/2,z'
loop_
_atom_site_label
_atom_site_fract_x
_atom_site_fract_y
_atom_site_fract_z
_atom_site_occupancy
Fe1 0.2436 0.0000 0.2462 1
Si1 0.0000 0.5000 0.0000 1
As1 0.0000 0.0000 0.5000 1
# * total energy: -54.16 eV per cell
# * M_tot: 0.05 μB per formula unit
# * energy relative to the elements, uncorrected: -0.021 eV per atom



# GGA-PBE BePtO, relaxed
data_BePtO
_cell_length_a 3.6884
_cell_length_b 3.6884
_cell_length_c 5.8761
_cell_angle_alpha 90.00
_cell_angle_beta 90.00
_cell_angle_gamma 120.00
_symmetry_space_group_name_H-M 'P 63/m m c'
_symmetry_Int_Tables_number 194
_symmetry_space_group_name_Hall '-P 6c 2c'
loop_
_atom_site_label
_atom_site_fract_x
_atom_site_fract_y
_atom_site_fract_z
_atom_site_occupancy
Be1 0.0000 0.0000 0.0000 1
Pt1 0.3333 0.6667 0.2500 1
O1 0.3333 0.6667 0.7500 1
# * total energy: -28.03 eV per cell
# * M_tot: 0.00 μB per formula unit
# * energy relative to the elements, uncorrected: 0.236 eV per atom



# GGA-PBE Ce2Al5Ga3, relaxed
data_Ce2Al5Ga3
_cell_length_a 4.2270
_cell_length_b 4.2270
_cell_length_c 11.2106
_cell_angle_alpha 90.00
_cell_angle_beta 90.00
_cell_angle_gamma 90.00
_symmetry_space_group_name_H-M 'P -4 m 2'
_symmetry_Int_Tables_number 115
loop_
_symmetry_equiv_pos_as_xyz
'x,y,z'
'y,-x,-z'
'-x,-y,z'
'-y,x,-z'
'-x,y,z'
'-y,-x,-z'
'x,-y,z'
'y,x,-z'
loop_
_atom_site_label
_atom_site_fract_x
_atom_site_fract_y
_atom_site_fract_z
_atom_site_occupancy
Ce1 0.0000 0.5000 0.2476 1
Al1 0.0000 0.0000 0.0000 1
Al2 0.0000 0.0000 0.5000 1
Al3 0.0000 0.5000 0.8595 1
Al4 0.5000 0.5000 0.0000 1
Ga1 0.0000 0.5000 0.6377 1
Ga2 0.5000 0.5000 0.5000 1
# * calculated formation energy: -3.57 eV per formula unit
# * total energy: -43.24 eV per cell
# * M_tot: 1.71 μB per formula unit